# 1
# Be2Nb2VIr5 | the Alexandria database | PBE-GGA | relaxed
# - E: -0.318 Ha/atom
data_Be2Nb2VIr5
_chemical_formula_sum 'Be4 Nb4 V2 Ir10'
_cell_length_a 9.015
_cell_length_b 9.015
_cell_length_c 3.416
_cell_angle_alpha 90.00
_cell_angle_beta 90.00
_cell_angle_gamma 90.00
_symmetry_space_group_name_H-M 'P 4/m b m'
_symmetry_Int_Tables_number 127
_symmetry_space_group_name_Hall '-P 4 2ab'
loop_
_atom_site_label
_atom_site_fract_x
_atom_site_fract_y
_atom_site_fract_z
Be1 0.121 0.379 0.000
Nb1 0.176 0.676 0.000
V1 0.000 0.000 0.000
Ir1 0.000 0.500 0.500
Ir2 0.071 0.207 0.500

=====

# 2
# Sm3Er2ThTe6 | the Alexandria database | PBE-GGA | relaxed
# - Raw formation energy: -1.258 eV per atom
data_Sm3Er2ThTe6
_chemical_formula_sum 'Sm6 Er4 Th2 Te12'
_cell_length_a 19.040
_cell_length_b 4.346
_cell_length_c 8.944
_cell_angle_alpha 90.00
_cell_angle_beta 100.31
_cell_angle_gamma 90.00
_symmetry_space_group_name_H-M 'C 1 2/m 1'
_symmetry_Int_Tables_number 12
_symmetry_space_group_name_Hall '-C 2y'
loop_
_atom_site_label
_atom_site_fract_x
_atom_site_fract_y
_atom_site_fract_z
Sm1 0.000 0.000 0.000
Sm2 0.155 0.500 0.342
Er1 0.166 0.500 0.837
Th1 0.000 0.000 0.500
Te1 0.008 0.500 0.759
Te2 0.170 0.000 0.085
Te3 0.173 0.000 0.601

=====

# 3
# Ac7La3Ho2 | the Alexandria database | PBE-GGA | relaxed
# - E: -0.157 Ha/atom
data_Ac7La3Ho2
_chemical_formula_sum 'Ac7 La3 Ho2'
_cell_length_a 6.982
_cell_length_b 3.787
_cell_length_c 18.688
_cell_angle_alpha 90.00
_cell_angle_beta 96.23
_cell_angle_gamma 90.00
_symmetry_space_group_name_H-M 'P 1 2/m 1'
_symmetry_Int_Tables_number 10
_symmetry_space_group_name_Hall '-P 2y'
loop_
_atom_site_label
_atom_site_fract_x
_atom_site_fract_y
_atom_site_fract_z
Ac1 0.000 0.000 0.000
Ac2 0.227 0.500 0.176
Ac3 0.253 0.500 0.494
Ac4 0.273 0.000 0.828
La1 0.461 0.000 0.342
La2 0.500 0.500 0.000
Ho1 0.056 0.500 0.669

=====

Number 1: magnetic moment 0.0 μB per formula unit. Number 2: magnetic moment 0.0 μB per formula unit. Number 3: magnetic moment 0.0 μB per formula unit.